Density functional theory data (PBE+U) for a relaxed CsCrRe2O8 crystal.

a b c (Å): 5.6415 5.6415 8.6500
angles (deg): 90.00 90.00 120.00
Closest atoms and distances in Å follow each position.
Fractional positions:
1 Cs 0.0000 0.0000 0.0000  12 O 3.33-3.50
2 Cr 0.0000 0.0000 0.5000  6 O 2.15
3 Re 0.3333 0.6667 0.7140  4 O 1.76-1.78
4 Re 0.6667 0.3333 0.2860  4 O 1.76-1.78
5 O 0.0768 0.3377 0.6484  1 Re 1.78
6 O 0.2608 0.9232 0.6484  1 Re 1.78
7 O 0.3333 0.6667 0.9175  1 Re 1.76
8 O 0.3377 0.2608 0.3516  1 Re 1.78
9 O 0.6623 0.7392 0.6484  1 Re 1.78
10 O 0.6667 0.3333 0.0825  1 Re 1.76
11 O 0.7392 0.0768 0.3516  1 Re 1.78
12 O 0.9232 0.6623 0.3516  1 Re 1.78

total magnetic moment	5.06	Bohr magnetons per cell
SG	P-3 (147)
total energy	-7.761	eV per atom